# 1
# TbPm4Nd2Dy (GGA-PBE, relaxed)
# M_tot (μB/cell): 0.00
# DFT formation energy (eV per atom): 0.39
# DFT total energy (eV/atom): -4.34
# Calculated volume (Å³ per atom): 34.492
data_TbPm4Nd2Dy
_chemical_formula_sum 'Tb2 Pm8 Nd4 Dy2'
_space_group_name_H-M_alt 'P 1'
_space_group_IT_number 1
_cell_length_a 9.594
_cell_length_b 9.594
_cell_length_c 11.992
_cell_angle_alpha 128.56
_cell_angle_beta 128.56
_cell_angle_gamma 87.91
loop_
_space_group_symop_operation_xyz
'x,y,z'
loop_
_atom_site_label
_atom_site_fract_x
_atom_site_fract_y
_atom_site_fract_z
_atom_site_occupancy
Nd1 0.500 0.000 0.000 1
Nd2 0.500 0.000 0.500 1
Nd3 0.500 0.500 0.000 1
Nd4 0.000 0.000 0.500 1
Pm1 0.202 0.206 0.451 1
Pm2 0.798 0.794 0.549 1
Pm3 0.755 0.247 0.014 1
Pm4 0.245 0.753 0.986 1
Pm5 0.294 0.298 0.049 1
Pm6 0.747 0.255 0.514 1
Pm7 0.706 0.702 0.951 1
Pm8 0.253 0.745 0.486 1
Dy1 0.000 0.000 0.000 1
Dy2 0.500 0.500 0.500 1
Tb1 0.000 0.500 0.500 1
Tb2 0.000 0.500 0.000 1

***

# 2
# KIn2AuS (GGA-PBE, relaxed)
# M_tot (μB/cell): 0.00
# DFT total energy (eV/atom): -2.89
# Calculated volume (Å³ per atom): 32.451
data_KIn2AuS
_chemical_formula_sum 'K1 In2 Au1 S1'
_space_group_name_H-M_alt 'P 1'
_space_group_IT_number 1
_cell_length_a 5.248
_cell_length_b 5.890
_cell_length_c 5.248
_cell_angle_alpha 90.00
_cell_angle_beta 90.00
_cell_angle_gamma 90.00
loop_
_space_group_symop_operation_xyz
'x,y,z'
loop_
_atom_site_label
_atom_site_fract_x
_atom_site_fract_y
_atom_site_fract_z
_atom_site_occupancy
In1 0.000 0.000 0.500 1
In2 0.500 0.000 0.000 1
K1 0.000 0.500 0.000 1
S1 0.500 0.500 0.500 1
Au1 0.000 0.000 0.000 1

***

# 3
# PmNd4Ho2 (GGA-PBE, relaxed)
# M_tot (μB/cell): 0.00
# DFT formation energy (eV per atom): 0.12
# DFT total energy (eV/atom): -4.59
# Calculated volume (Å³ per atom): 33.827
# Relative energy among the computed polymorphs (eV per atom): 0.060
data_PmNd4Ho2
_chemical_formula_sum 'Pm2 Nd8 Ho4'
_space_group_name_H-M_alt 'P 1'
_space_group_IT_number 1
_cell_length_a 6.222
_cell_length_b 6.680
_cell_length_c 11.802
_cell_angle_alpha 90.00
_cell_angle_beta 105.12
_cell_angle_gamma 90.00
loop_
_space_group_symop_operation_xyz
'x,y,z'
loop_
_atom_site_label
_atom_site_fract_x
_atom_site_fract_y
_atom_site_fract_z
_atom_site_occupancy
Nd1 0.149 0.750 0.446 1
Nd2 0.353 0.495 0.714 1
Nd3 0.851 0.250 0.554 1
Nd4 0.020 0.750 0.856 1
Nd5 0.353 0.005 0.714 1
Nd6 0.647 0.995 0.286 1
Nd7 0.647 0.505 0.286 1
Nd8 0.980 0.250 0.144 1
Pm1 0.844 0.250 0.843 1
Pm2 0.156 0.750 0.157 1
Ho1 0.400 0.250 0.003 1
Ho2 0.710 0.750 0.569 1
Ho3 0.600 0.750 0.997 1
Ho4 0.290 0.250 0.431 1

***

# 4
# HoTm2Mg4 (GGA-PBE, relaxed)
# M_tot (μB/cell): 0.00
# DFT formation energy (eV per atom): 0.16
# DFT total energy (eV/atom): -2.69
# Calculated volume (Å³ per atom): 29.215
# Relative energy among the computed polymorphs (eV per atom): 0.000
data_HoTm2Mg4
_chemical_formula_sum 'Ho1 Tm2 Mg4'
_space_group_name_H-M_alt 'P 1'
_space_group_IT_number 1
_cell_length_a 5.368
_cell_length_b 5.368
_cell_length_c 8.048
_cell_angle_alpha 109.48
_cell_angle_beta 109.48
_cell_angle_gamma 90.00
loop_
_space_group_symop_operation_xyz
'x,y,z'
loop_
_atom_site_label
_atom_site_fract_x
_atom_site_fract_y
_atom_site_fract_z
_atom_site_occupancy
Ho1 0.000 0.000 0.000 1
Mg1 0.118 0.618 0.236 1
Mg2 0.882 0.382 0.764 1
Mg3 0.382 0.882 0.764 1
Mg4 0.618 0.118 0.236 1
Tm1 0.751 0.751 0.501 1
Tm2 0.249 0.249 0.499 1

***

# 5
# TcSb2Au (GGA-PBE, relaxed)
# M_tot (μB/cell): 0.00
# DFT total energy (eV/atom): -5.05
# Calculated volume (Å³ per atom): 28.546
# Relative energy among the computed polymorphs (eV per atom): 0.318
data_TcSb2Au
_chemical_formula_sum 'Tc2 Sb4 Au2'
_space_group_name_H-M_alt 'P 1'
_space_group_IT_number 1
_cell_length_a 6.236
_cell_length_b 6.236
_cell_length_c 7.344
_cell_angle_alpha 64.88
_cell_angle_beta 64.88
_cell_angle_gamma 90.00
loop_
_space_group_symop_operation_xyz
'x,y,z'
loop_
_atom_site_label
_atom_site_fract_x
_atom_site_fract_y
_atom_site_fract_z
_atom_site_occupancy
Sb1 0.602 0.125 0.250 1
Sb2 0.375 0.398 0.750 1
Sb3 0.875 0.852 0.750 1
Sb4 0.148 0.625 0.250 1
Tc1 0.250 0.750 0.500 1
Tc2 0.500 0.500 0.000 1
Au1 0.750 0.250 0.500 1
Au2 0.000 0.000 0.000 1

***

# 6
# Ac4Si3HgPd12 (GGA-PBE, relaxed)
# M_tot (μB/cell): 0.00
# DFT total energy (eV/atom): -5.35
# Calculated volume (Å³ per atom): 22.231
data_Ac4Si3HgPd12
_chemical_formula_sum 'Ac4 Si3 Hg1 Pd12'
_space_group_name_H-M_alt 'P 1'
_space_group_IT_number 1
_cell_length_a 8.328
_cell_length_b 8.328
_cell_length_c 8.328
_cell_angle_alpha 109.47
_cell_angle_beta 109.47
_cell_angle_gamma 109.47
loop_
_space_group_symop_operation_xyz
'x,y,z'
loop_
_atom_site_label
_atom_site_fract_x
_atom_site_fract_y
_atom_site_fract_z
_atom_site_occupancy
Pd1 0.250 0.500 0.750 1
Pd2 0.269 0.269 0.000 1
Pd3 0.269 0.000 0.269 1
Pd4 0.500 0.750 0.250 1
Pd5 0.731 0.000 0.731 1
Pd6 0.750 0.500 0.250 1
Pd7 0.000 0.269 0.269 1
Pd8 0.000 0.731 0.731 1
Pd9 0.250 0.750 0.500 1
Pd10 0.500 0.250 0.750 1
Pd11 0.731 0.731 0.000 1
Pd12 0.750 0.250 0.500 1
Ac1 0.000 0.000 0.500 1
Ac2 0.000 0.500 0.000 1
Ac3 0.500 0.500 0.500 1
Ac4 0.500 0.000 0.000 1
Si1 0.000 0.500 0.500 1
Si2 0.500 0.500 0.000 1
Si3 0.500 0.000 0.500 1
Hg1 0.000 0.000 0.000 1